! ScVO4 (GGA+U, optimized geometry); values from VASP
! V: 10.814 A^3/atom
! DOS(E_F): 0.0000 states/eV per atom
! Calculated density: 4.09 g/cm³
! Total DFT energy (no corrections): -8.15 eV per atom
&SYSTEM
  ibrav = 0, nat = 12, ntyp = 3
/
ATOMIC_SPECIES
Sc 44.96 Sc.upf
V 50.94 V.upf
O 16.00 O.upf
CELL_PARAMETERS angstrom
-2.4561 2.4561 5.3782
2.4561 -2.4561 5.3782
2.4561 2.4561 -5.3782
ATOMIC_POSITIONS angstrom
Sc 0.0000 2.4561 2.6891
Sc 0.0000 0.0000 0.0000
V 2.4561 0.0000 2.6891
V 0.0000 0.0000 5.3782
O 3.2661 1.2890 3.5764
O 1.6460 -1.2890 3.5764
O 1.2890 -0.8100 6.2655
O 1.1671 3.2661 0.8873
O 1.6460 1.1671 -0.8873
O 0.8100 1.2890 4.4909
O 1.1671 0.8100 1.8018
O 3.7451 -0.8100 1.8018